Record 1
BTe2S | PBE | relaxed

Cell lengths 4.7616, 4.7616, 4.7616 Å; angles 60.00, 60.00, 60.00 degrees
Sites, in units of the cell vectors:
1 S 0.5000 0.5000 0.5000
2 Te 0.7500 0.7500 0.7500
3 Te 0.2500 0.2500 0.2500
4 B 0.0000 0.0000 0.0000

Properties
Distance to the lowest polymorph of the same formula, eV per atom: 0.571
E_form (uncorrected), eV/atom: 1.173
V, Å³/cell: 76.34
Magnetic moment, μB per atom: 0.000

Record 2
PmZn2Pd2 | PBE | relaxed

Cell lengths 4.1707, 4.1707, 11.3596 Å; angles 100.58, 100.58, 90.00 degrees
Sites, in units of the cell vectors:
1 Zn 0.8172 0.8172 0.6344
2 Zn 0.0000 0.5000 0.0000
3 Zn 0.1828 0.1828 0.3656
4 Zn 0.5000 0.0000 0.0000
5 Pd 0.9310 0.9310 0.8621
6 Pd 0.0690 0.0690 0.1379
7 Pd 0.2500 0.7500 0.5000
8 Pd 0.7500 0.2500 0.5000
9 Pm 0.3716 0.3716 0.7432
10 Pm 0.6284 0.6284 0.2568

Properties
Distance to the lowest polymorph of the same formula, eV per atom: 0.007
Energy relative to the elements, eV per atom: -0.608
V, Å³/cell: 190.83
Magnetic moment, μB per atom: 0.000

Record 3
Sm3Dy2Ho6Pu | PBE | relaxed

Cell lengths 6.1381, 6.1381, 11.6861 Å; angles 95.04, 95.04, 120.01 degrees
Site moments in Bohr magnetons follow the coordinates.
Sites, in units of the cell vectors:
1 Ho 0.4112 0.0820 0.2460  -0.05
2 Ho 0.5888 0.9180 0.7540  -0.05
3 Ho 0.2474 0.2474 0.7539  -0.05
4 Ho 0.9180 0.5888 0.7540  -0.05
5 Ho 0.7526 0.7526 0.2461  -0.05
6 Ho 0.0820 0.4112 0.2460  -0.05
7 Pu 0.0000 0.0000 0.0000  -5.57
8 Dy 0.3334 0.6666 0.0000  -0.09
9 Dy 0.6666 0.3334 0.0000  -0.09
10 Sm 0.8329 0.1671 0.5000  0.02
11 Sm 0.5000 0.5000 0.5000  0.03
12 Sm 0.1671 0.8329 0.5000  0.02

Properties
Energy relative to the elements, eV per atom: 0.042
V, Å³/cell: 375.35
Magnetic moment, μB per atom: 0.540

no.,energy (eV per cell),DOS at the Fermi energy (states/eV/f.u.)
1,-12.39,2.187
2,-41.45,3.536
3,-64.66,22.937